Record 1
Compound: CaNbSiTePd
Source: Alexandria via LeMat-Bulk
Functional: PBE
Structure: optimized geometry

```
CaNbSiTePd
1.0
-2.878 -3.006 0.033
3.737 -0.715 -1.687
2.523 -2.342 6.582
Ca Nb Si Te Pd
1 1 1 1 1
Direct
0.667 0.333 0.118
0.667 0.333 0.593
0.000 0.000 0.393
0.000 0.000 0.830
0.333 0.667 0.418
```

Summary:
Energy relative to the lowest polymorph listed for this composition   29 meV/atom
Fermi-level density of states   2.9 states/eV/f.u.
VASP energy   -5.79 eV/atom
Size of the total moment   0.00 μB/f.u.
E_form (uncorrected)   -301 kJ/mol of formula units



Record 2
Compound: CaNbSiTePd
Source: Alexandria via LeMat-Bulk
Functional: PBE
Structure: optimized geometry

```
CaNbSiTePd
1.0
4.130 0.000 0.000
-2.065 3.577 0.000
0.000 0.000 7.487
Ca Nb Si Te Pd
1 1 1 1 1
Direct
0.667 0.333 0.877
0.667 0.333 0.399
0.000 0.000 0.599
0.333 0.667 0.170
0.333 0.667 0.603
```

Summary:
Energy relative to the lowest polymorph listed for this composition   0 meV/atom
Fermi-level density of states   3.0 states/eV/f.u.
VASP energy   -5.82 eV/atom
Size of the total moment   0.00 μB/f.u.
E_form (uncorrected)   -315 kJ/mol of formula units



Record 3
Compound: CaNbSiTePd
Source: Alexandria via LeMat-Bulk
Functional: PBE
Structure: optimized geometry

```
CaNbSiTePd
1.0
4.314 -0.041 0.009
2.054 3.833 0.008
1.615 0.990 7.257
Ca Nb Si Te Pd
1 1 1 1 1
Direct
0.455 0.601 0.893
0.874 0.017 0.534
0.184 0.332 0.639
0.053 0.191 0.160
0.559 0.697 0.422
```

Summary:
Energy relative to the lowest polymorph listed for this composition   293 meV/atom
Fermi-level density of states   2.7 states/eV/f.u.
VASP energy   -5.53 eV/atom
Size of the total moment   0.00 μB/f.u.
E_form (uncorrected)   -174 kJ/mol of formula units



Record 4
Compound: CaNbSiTePd
Source: Alexandria via LeMat-Bulk
Functional: PBE
Structure: optimized geometry

```
CaNbSiTePd
1.0
4.144 0.000 0.001
0.000 4.182 0.000
-0.180 0.000 13.869
Ca Nb Si Te Pd
2 2 2 2 2
Direct
0.088 0.000 0.743
0.088 0.500 0.243
0.097 0.000 0.438
0.097 0.500 0.938
0.592 0.000 0.327
0.592 0.500 0.827
0.102 0.000 0.067
0.102 0.500 0.567
0.597 0.000 0.916
0.597 0.500 0.416
```

Summary:
Energy relative to the lowest polymorph listed for this composition   122 meV/atom
Fermi-level density of states   3.1 states/eV/f.u.
VASP energy   -5.70 eV/atom
Size of the total moment   0.00 μB/f.u.
E_form (uncorrected)   -256 kJ/mol of formula units



Record 5
Compound: CaNbSiTePd
Source: Alexandria via LeMat-Bulk
Functional: PBE
Structure: optimized geometry

```
CaNbSiTePd
1.0
-2.654 -3.688 -5.442
-0.808 -2.838 2.317
-4.958 6.661 6.430
Ca Nb Si Te Pd
2 2 2 2 2
Direct
0.521 0.000 0.853
0.521 0.500 0.353
0.934 0.000 0.784
0.934 0.500 0.284
0.623 0.000 0.157
0.623 0.500 0.657
0.993 0.000 0.525
0.993 0.500 0.025
0.368 0.000 0.513
0.368 0.500 0.013
```

Summary:
Energy relative to the lowest polymorph listed for this composition   258 meV/atom
Fermi-level density of states   3.4 states/eV/f.u.
VASP energy   -5.56 eV/atom
Size of the total moment   0.00 μB/f.u.
E_form (uncorrected)   -191 kJ/mol of formula units



Record 6
Compound: Ca2TaNbPd
Source: Alexandria via LeMat-Bulk
Functional: PBE
Structure: optimized geometry

```
Ca2TaNbPd
1.0
-0.749 -4.870 -1.540
3.876 0.449 -3.303
3.281 -1.651 3.627
Nb Ca Pd Ta
1 2 1 1
Direct
0.000 0.500 0.000
0.000 0.000 0.500
0.500 0.000 0.000
0.000 0.000 0.000
0.500 0.500 0.500
```

Summary:
Fermi-level density of states   4.7 states/eV/f.u.
VASP energy   -5.18 eV/atom
Size of the total moment   1.88 μB/f.u.
DFT formation energy   1.0416 eV/atom



Record 7
Compound: CaNbTlPd2
Source: Alexandria via LeMat-Bulk
Functional: PBE
Structure: optimized geometry

```
CaNbTlPd2
1.0
-2.572 -2.899 -2.883
2.037 -4.204 2.410
-3.635 0.063 3.181
Tl Ca Nb Pd
1 1 1 2
Direct
0.500 0.500 0.500
0.000 0.000 0.000
0.000 0.500 0.000
0.000 0.000 0.500
0.500 0.000 0.000
```

Summary:
Fermi-level density of states   4.2 states/eV/f.u.
VASP energy   -3.79 eV/atom
Size of the total moment   1.67 μB/f.u.
DFT formation energy   1.1764 eV/atom



Record 8
Compound: CaNbPdW2
Source: Alexandria via LeMat-Bulk
Functional: PBE
Structure: optimized geometry

```
CaNbPdW2
1.0
-4.034 1.661 1.414
-2.175 -3.551 -2.035
0.354 -2.434 3.870
Nb Ca Pd W
1 1 1 2
Direct
0.000 0.500 0.000
0.000 0.000 0.000
0.500 0.500 0.500
0.000 0.000 0.500
0.500 0.000 0.000
```

Summary:
Fermi-level density of states   8.4 states/eV/f.u.
VASP energy   -5.83 eV/atom
Size of the total moment   0.00 μB/f.u.
DFT formation energy   2.8035 eV/atom



Record 9
Compound: CaYNbPd2
Source: Alexandria via LeMat-Bulk
Functional: PBE
Structure: optimized geometry

```
CaYNbPd2
1.0
4.962 0.000 0.000
0.000 5.048 0.000
0.000 0.000 4.962
Y Nb Ca Pd
1 1 1 2
Direct
0.500 0.500 0.500
0.000 0.000 0.000
0.000 0.500 0.000
0.000 0.000 0.500
0.500 0.000 0.000
```

Summary:
Fermi-level density of states   4.3 states/eV/f.u.
VASP energy   -5.33 eV/atom
Size of the total moment   0.00 μB/f.u.
DFT formation energy   0.4554 eV/atom



Record 10
Compound: CaZrNbPd2
Source: Alexandria via LeMat-Bulk
Functional: PBE
Structure: optimized geometry

```
CaZrNbPd2
1.0
-1.984 -1.320 -4.436
4.503 -1.176 -1.664
-0.612 -4.710 1.675
Nb Ca Zr Pd
1 1 1 2
Direct
0.000 0.000 0.000
0.500 0.500 0.500
0.000 0.500 0.000
0.000 0.000 0.500
0.500 0.000 0.000
```

Summary:
Fermi-level density of states   4.1 states/eV/f.u.
VASP energy   -5.83 eV/atom
Size of the total moment   0.00 μB/f.u.
DFT formation energy   0.3706 eV/atom



Record 11
Compound: CaNbPt
Source: Alexandria via LeMat-Bulk
Functional: PBE
Structure: optimized geometry

```
CaNbPt
1.0
-1.769 -2.994 1.981
3.177 -2.334 -0.691
3.453 2.616 7.037
Ca Pt Nb
2 2 2
Direct
0.000 0.500 0.856
0.500 0.000 0.144
0.000 0.500 0.260
0.500 0.000 0.740
0.500 0.500 0.500
0.000 0.000 0.500
```

Summary:
Fermi-level density of states   3.6 states/eV/f.u.
VASP energy   -6.44 eV/atom
Size of the total moment   0.00 μB/f.u.
DFT formation energy   -0.4015 eV/atom



Record 12
Compound: CaNb2Pt
Source: Alexandria via LeMat-Bulk
Functional: PBE
Structure: optimized geometry

```
CaNb2Pt
1.0
0.000 3.334 3.334
3.334 0.000 3.334
3.334 3.334 0.000
Nb Ca Pt
2 1 1
Direct
0.250 0.250 0.250
0.750 0.750 0.750
0.000 0.000 0.000
0.500 0.500 0.500
```

Summary:
Energy relative to the lowest polymorph listed for this composition   30 meV/atom
Fermi-level density of states   6.0 states/eV/f.u.
VASP energy   -6.75 eV/atom
Size of the total moment   0.00 μB/f.u.
DFT formation energy   0.2983 eV/atom